## Co3P2O10 (PBE+U)

Data for crystalline Co3P2O10 at its relaxed geometry.

Calculated values
E_tot = -6.411 eV/atom
space group = P2_1/c

Unit cell a=6.9974 b=7.6194 c=6.9059 alpha=90.00 beta=119.47 gamma=90.00
Last column: nearest neighbours and their distance in Å.
Fractional coordinates of all 30 atoms:
Co  0.0000  0.0000  0.0000  4 O 1.88-1.92
Co  0.0000  0.5000  0.5000  4 O 1.88-1.92
Co  0.2483  0.2380  0.7688  6 O 1.89-1.95
Co  0.2483  0.2620  0.2688  6 O 1.89-1.95
Co  0.7517  0.7380  0.7312  6 O 1.89-1.95
Co  0.7517  0.7620  0.2312  6 O 1.89-1.95
P  0.2620  0.6022  0.0148  4 O 1.52-1.59
P  0.2620  0.8978  0.5148  4 O 1.52-1.59
P  0.7380  0.1022  0.4852  4 O 1.52-1.59
P  0.7380  0.3978  0.9852  4 O 1.52-1.59
O  0.0658  0.7304  0.9427  1 P 1.55
O  0.0658  0.7696  0.4427  1 P 1.55
O  0.1739  0.0281  0.3093  1 P 1.59
O  0.1739  0.4719  0.8093  1 P 1.59
O  0.2307  0.1452  0.0135  3 Co 1.89-1.92
O  0.2307  0.3548  0.5135  3 Co 1.89-1.92
O  0.3200  0.0103  0.7184  1 P 1.52
O  0.3200  0.4897  0.2184  1 P 1.52
O  0.4516  0.7146  0.0367  1 P 1.52
O  0.4516  0.7854  0.5367  1 P 1.52
O  0.5484  0.2146  0.4633  1 P 1.52
O  0.5484  0.2854  0.9633  1 P 1.52
O  0.6800  0.5103  0.7816  1 P 1.52
O  0.6800  0.9897  0.2816  1 P 1.52
O  0.7693  0.6452  0.4865  3 Co 1.89-1.92
O  0.7693  0.8548  0.9865  3 Co 1.89-1.92
O  0.8261  0.5281  0.1907  1 P 1.59
O  0.8261  0.9719  0.6907  1 P 1.59
O  0.9342  0.2304  0.5573  1 P 1.55
O  0.9342  0.2696  0.0573  1 P 1.55